Density functional theory data (PBE) for a relaxed structure of CaIn4Si.

Structure (CIF):
```
data_CaIn4Si
_cell_length_a 8.6001
_cell_length_b 8.6001
_cell_length_c 8.6001
_cell_angle_alpha 90.00
_cell_angle_beta 90.00
_cell_angle_gamma 90.00
_symmetry_space_group_name_H-M 'F -4 3 m'
_symmetry_Int_Tables_number 216
_symmetry_space_group_name_Hall 'F -4 2 3'
loop_
_atom_site_label
_atom_site_type_symbol
_atom_site_fract_x
_atom_site_fract_y
_atom_site_fract_z
_atom_site_occupancy
Ca1 Ca 0.0000 0.0000 0.0000 1
In1 In 0.1243 0.1243 0.6243 1
Si1 Si 0.2500 0.2500 0.2500 1
```

Output
DOS at the Fermi energy	14.408	states/eV/cell
M_tot	0.00	μB/f.u.
E_form (uncorrected)	0.135	eV per atom
VASP energy	-2.928	eV/atom